(1)
Material: AlCuSb2Te
Method: DFT, GGA-PBE
State: optimized geometry

```
data_AlCuSb2Te
_chemical_formula_sum 'Al1 Cu1 Sb2 Te1'
_cell_length_a 5.058
_cell_length_b 5.058
_cell_length_c 5.339
_cell_angle_alpha 90.00
_cell_angle_beta 90.00
_cell_angle_gamma 90.00
_space_group_name_H-M_alt 'P 1'
_space_group_IT_number 1
loop_
_space_group_symop_operation_xyz
'x,y,z'
loop_
_atom_site_label
_atom_site_type_symbol
_atom_site_fract_x
_atom_site_fract_y
_atom_site_fract_z
Sb1 Sb 0.000 0.500 0.000
Sb2 Sb 0.500 0.000 0.000
Te1 Te 0.000 0.000 0.500
Al1 Al 0.500 0.500 0.500
Cu1 Cu 0.000 0.000 0.000
```

Results
Uncorrected energy   -3.319 eV/atom
ΔE_f (raw)   526.1 meV per atom
Energy relative to the lowest polymorph listed for this composition   0.000 eV per atom
Magnetization   0.000 μB per atom
V   27.3 Å³ per atom

(2)
Material: BeNi2Bi2
Method: DFT, GGA-PBE
State: optimized geometry

```
data_BeNi2Bi2
_chemical_formula_sum 'Be1 Ni2 Bi2'
_cell_length_a 3.482
_cell_length_b 3.482
_cell_length_c 8.185
_cell_angle_alpha 77.72
_cell_angle_beta 77.72
_cell_angle_gamma 90.00
_space_group_name_H-M_alt 'P 1'
_space_group_IT_number 1
loop_
_space_group_symop_operation_xyz
'x,y,z'
loop_
_atom_site_label
_atom_site_type_symbol
_atom_site_fract_x
_atom_site_fract_y
_atom_site_fract_z
Ni1 Ni 0.750 0.250 0.500
Ni2 Ni 0.250 0.750 0.500
Bi1 Bi 0.386 0.386 0.228
Bi2 Bi 0.614 0.614 0.772
Be1 Be 0.000 0.000 0.000
```

Results
Uncorrected energy   -4.149 eV/atom
Calculated formation energy   461.4 meV/atom
Energy relative to the lowest polymorph listed for this composition   0.000 eV per atom
Magnetization   0.000 μB per atom
V   18.9 Å³ per atom

(3)
Material: NbTc3Te
Method: DFT, GGA-PBE
State: optimized geometry

```
data_NbTc3Te
_chemical_formula_sum 'Nb1 Tc3 Te1'
_cell_length_a 4.777
_cell_length_b 4.777
_cell_length_c 4.777
_cell_angle_alpha 90.00
_cell_angle_beta 90.00
_cell_angle_gamma 90.00
_space_group_name_H-M_alt 'P 1'
_space_group_IT_number 1
loop_
_space_group_symop_operation_xyz
'x,y,z'
loop_
_atom_site_label
_atom_site_type_symbol
_atom_site_fract_x
_atom_site_fract_y
_atom_site_fract_z
Nb1 Nb 0.000 0.000 0.000
Te1 Te 0.500 0.500 0.500
Tc1 Tc 0.000 0.500 0.000
Tc2 Tc 0.000 0.000 0.500
Tc3 Tc 0.500 0.000 0.000
```

Results
Uncorrected energy   -7.180 eV/atom
ΔE_f (raw)   1682.2 meV per atom
Energy relative to the lowest polymorph listed for this composition   0.000 eV per atom
Magnetization   0.105 μB per atom
V   21.8 Å³ per atom

(4)
Material: Ba3Sr2Li2Au4
Method: DFT, GGA-PBE
State: optimized geometry

```
data_Ba3Sr2Li2Au4
_chemical_formula_sum 'Ba3 Sr2 Li2 Au4'
_cell_length_a 4.719
_cell_length_b 4.719
_cell_length_c 19.645
_cell_angle_alpha 90.00
_cell_angle_beta 90.00
_cell_angle_gamma 120.00
_space_group_name_H-M_alt 'P 1'
_space_group_IT_number 1
loop_
_space_group_symop_operation_xyz
'x,y,z'
loop_
_atom_site_label
_atom_site_type_symbol
_atom_site_fract_x
_atom_site_fract_y
_atom_site_fract_z
Ba1 Ba 0.000 0.000 0.765
Ba2 Ba 0.000 0.000 0.000
Ba3 Ba 0.000 0.000 0.235
Sr1 Sr 0.667 0.333 0.415
Sr2 Sr 0.333 0.667 0.585
Li1 Li 0.667 0.333 0.882
Li2 Li 0.333 0.667 0.118
Au1 Au 0.667 0.333 0.116
Au2 Au 0.333 0.667 0.884
Au3 Au 0.667 0.333 0.664
Au4 Au 0.333 0.667 0.336
```

Results
Uncorrected energy   -2.924 eV/atom
Calculated formation energy   -554.4 meV/atom
Magnetization   0.000 μB per atom
V   34.4 Å³ per atom